First-principles (PBE) data for a relaxed Y8Sn3SbTe4 crystal, as listed in Alexandria. Values from VASP.

Structure (Quantum ESPRESSO input):
```
&SYSTEM
  ibrav = 0, nat = 16, ntyp = 4
/
ATOMIC_SPECIES
Y 88.91 Y.upf
Te 127.60 Te.upf
Sn 118.71 Sn.upf
Sb 121.76 Sb.upf
CELL_PARAMETERS angstrom
-8.683 1.389 -0.101
-1.395 -8.671 0.643
5.038 4.090 5.936
ATOMIC_POSITIONS crystal
Y 0.743 0.736 0.989
Y 0.257 0.264 0.011
Y 0.753 0.264 0.506
Y 0.753 0.264 0.011
Y 0.746 0.737 0.491
Y 0.247 0.736 0.494
Y 0.247 0.736 0.989
Y 0.254 0.263 0.509
Te 0.000 0.000 0.000
Te 0.500 0.000 0.500
Te 0.500 0.000 0.000
Te 0.000 0.000 0.500
Sn 0.500 0.500 0.500
Sn 0.000 0.500 0.500
Sn 0.500 0.500 0.000
Sb 0.000 0.500 0.000
```

Calculated values
E_form (uncorrected), meV per atom: -1142



First-principles (PBE) data for a relaxed Pt2Rh crystal, as listed in Alexandria. Values from VASP.

Structure (Quantum ESPRESSO input):
```
&SYSTEM
  ibrav = 0, nat = 6, ntyp = 2
/
ATOMIC_SPECIES
Rh 102.91 Rh.upf
Pt 195.08 Pt.upf
CELL_PARAMETERS angstrom
0.000 3.678 3.678
3.678 0.000 3.678
3.678 3.678 0.000
ATOMIC_POSITIONS crystal
Rh 0.500 0.500 0.500
Rh 0.750 0.750 0.750
Pt 0.125 0.125 0.625
Pt 0.625 0.125 0.125
Pt 0.125 0.125 0.125
Pt 0.125 0.625 0.125
```

Calculated values
Energy of formation from the pure elements, eV/atom: 0.343



First-principles (PBE) data for a relaxed MnFePb2 crystal, as listed in Alexandria. Values from VASP.

Structure (Quantum ESPRESSO input):
```
&SYSTEM
  ibrav = 0, nat = 4, ntyp = 3
/
ATOMIC_SPECIES
Pb 207.20 Pb.upf
Fe 55.84 Fe.upf
Mn 54.94 Mn.upf
CELL_PARAMETERS angstrom
-2.524 4.040 5.452
-2.792 0.499 6.661
0.492 2.301 6.847
ATOMIC_POSITIONS crystal
Pb 0.222 0.222 0.222
Pb 0.027 0.027 0.027
Fe 0.468 0.468 0.468
Mn 0.783 0.783 0.783
```

Calculated values
Energy of formation from the pure elements, eV/atom: 0.462



Number 1: density 5.856 Mg/m³. Number 2: density 16.459 Mg/m³. Number 3: density 10.362 Mg/m³.